Zr5HgRh: optimized geometry, PBE-GGA.

Calculated values
For the size of the total moment, the calculation gives 0.00 μB per atom. The density of states at the Fermi level comes out at 0.99 states/eV per atom. Its space group is C2/c. The formation energy is 0.9 meV per atom.

Lattice parameters (Å, degrees): 5.8938 5.8938 11.7609 66.83 66.83 59.22
Element x y z (fractional)
Zr  0.7098  0.8334  0.1894
Zr  0.3304  0.3131  0.5234
Zr  0.8334  0.7098  0.6894
Zr  0.1979  0.8021  0.2500
Zr  0.6869  0.6696  0.9766
Zr  0.3131  0.3304  0.0234
Zr  0.8021  0.1979  0.7500
Zr  0.1666  0.2902  0.3106
Zr  0.6696  0.6869  0.4766
Zr  0.2902  0.1666  0.8106
Hg  0.7054  0.2946  0.2500
Hg  0.2946  0.7054  0.7500
Rh  0.0000  0.0000  0.0000
Rh  0.0000  0.0000  0.5000